1.
Below is Pr3Sn5 after structural relaxation, with properties calculated at the GGA-PBEsol level.

Results
- E_form (kJ/mol of atoms) = -70.45

Geometry as POSCAR:
```
Pr3Sn5
1.0
6.5013 -0.0228 0.0000
-1.4108 6.3465 0.0000
0.0000 0.0000 10.5125
Pr Sn
6 10
Cartesian
3.2217 4.0021 7.8844 Pr
1.8688 2.3215 2.6281 Pr
4.9090 1.2591 5.2563 Pr
4.9090 1.2591 0.0000 Pr
0.1815 5.0646 5.2563 Pr
0.1815 5.0646 0.0000 Pr
0.1073 0.1333 7.8844 Sn
4.9832 6.1904 2.6281 Sn
1.6254 2.0192 10.0131 Sn
3.4651 4.3045 0.4994 Sn
1.6254 2.0192 5.7557 Sn
3.4651 4.3045 4.7568 Sn
-0.2277 3.1569 7.8844 Sn
1.9578 5.8719 2.6281 Sn
5.3182 3.1668 2.6281 Sn
3.1327 0.4518 7.8844 Sn
```


2.
Below is BaCa2LaRh after structural relaxation, with properties calculated at the GGA-PBEsol level.

Results
- E_form (kJ/mol of atoms) = -22.58

Geometry as POSCAR:
```
BaCa2LaRh
1.0
5.3814 0.0000 0.0000
0.0000 5.7728 0.0000
0.0000 0.0000 5.7728
Ca Rh Ba La
2 1 1 1
Cartesian
0.0000 0.0000 2.8864 Ca
0.0000 2.8864 0.0000 Ca
0.0000 0.0000 0.0000 Rh
2.6907 2.8864 2.8864 Ba
2.6907 0.0000 0.0000 La
```


3.
Below is Na4Al3FeSi8O24 after structural relaxation, with properties calculated at the GGA-PBEsol level.

Results
- uncorrected formation energy (eV/atom) = -2.643

Geometry as POSCAR:
```
Na4Al3FeSi8O24
1.0
5.2415 0.0000 -0.0040
0.0000 8.5810 0.0000
-2.3611 0.0000 9.0235
Na Al Fe Si O
4 3 1 8 24
Cartesian
1.4402 6.8749 4.5097 Na
0.0000 2.5735 0.0000 Na
-1.1805 1.7227 4.5117 Na
2.6207 5.9968 -0.0020 Na
0.0000 7.7813 0.0000 Al
-1.1805 5.0832 4.5117 Al
2.6207 0.7923 -0.0020 Al
1.4402 3.5376 4.5097 Fe
0.9659 0.8104 2.6228 Si
2.4031 5.0910 7.1336 Si
1.9145 0.8104 6.3967 Si
0.4773 5.0910 1.8859 Si
-0.7064 7.7754 6.4030 Si
3.0930 3.4743 1.8927 Si
3.5868 7.7754 2.6165 Si
-0.2126 3.4743 7.1268 Si
0.9516 0.6521 0.9803 O
2.3944 4.9669 5.4870 O
1.9289 0.6521 8.0391 O
0.4860 4.9669 3.5325 O
-0.6925 7.9259 8.0451 O
3.1268 3.6298 3.5343 O
3.5729 7.9259 0.9744 O
-0.2464 3.6298 5.4852 O
2.3124 0.0723 3.1970 O
-1.4937 4.3437 7.7046 O
0.5680 0.0723 5.8225 O
4.3741 4.3437 1.3148 O
3.1875 8.5094 5.8236 O
1.7544 4.2209 1.3142 O
-0.3071 8.5094 3.1959 O
1.1260 4.2209 7.7053 O
0.7700 2.2820 3.2482 O
2.2562 6.5557 7.7719 O
2.1104 2.2820 5.7713 O
0.6243 6.5557 1.2476 O
-0.5582 6.3082 5.7686 O
3.2409 2.0113 1.2522 O
3.4386 6.3082 3.2508 O
-0.3605 2.0113 7.7673 O
```


4.
Below is AgMoAsO6 after structural relaxation, with properties calculated at the GGA-PBEsol level.

Results
- uncorrected formation energy (eV/atom) = -1.303

Geometry as POSCAR:
```
AgMoAsO6
1.0
6.5442 0.0000 0.0000
0.0000 7.6654 0.0000
0.0000 0.0000 9.9334
Ag Mo As O
4 4 4 24
Cartesian
3.4019 6.7248 4.8632 Ag
6.4143 0.9405 9.8299 Ag
0.1299 4.7732 5.0702 Ag
3.1422 2.8921 0.1035 Ag
1.7140 6.0975 8.0691 Mo
1.5581 1.5679 3.1024 Mo
4.9861 5.4005 1.8643 Mo
4.8301 2.2648 6.8310 Mo
1.6098 1.5727 6.5679 As
1.6623 6.0927 1.6011 As
4.8819 2.2600 3.3656 As
4.9344 5.4054 8.3323 As
3.6184 6.5126 8.1901 O
6.1979 1.1528 3.2234 O
0.3463 4.9855 1.7433 O
2.9258 2.6799 6.7100 O
3.0272 5.0612 1.6978 O
0.2449 2.6042 6.6645 O
6.2993 6.4369 8.2356 O
3.5169 1.2285 3.2689 O
1.6696 5.7620 6.3580 O
1.6025 1.9034 1.3913 O
4.9417 5.7361 3.5754 O
4.8746 1.9293 8.5421 O
1.7996 4.5457 8.7808 O
1.4725 3.1197 3.8141 O
5.0716 6.9524 1.1526 O
4.7446 0.7130 6.1193 O
1.6195 0.5561 7.9274 O
1.6526 7.1093 2.9607 O
4.8916 3.2766 2.0060 O
4.9247 4.3887 6.9727 O
1.6772 0.7042 5.1149 O
1.5949 6.9612 0.1481 O
4.9493 3.1285 4.8186 O
4.8670 4.5369 9.7853 O
```


5.
Below is Cd2PI after structural relaxation, with properties calculated at the GGA-PBEsol level.

Results
- relative energy among the computed polymorphs (eV per formula unit) = 0.00
- uncorrected formation energy (eV/atom) = -0.229

Geometry as POSCAR:
```
Cd2PI
1.0
6.2939 0.0000 0.0000
0.0000 6.2939 0.0000
-3.1469 -3.1469 6.2647
I P Cd
2 2 4
Cartesian
0.0000 3.1469 3.1323 I
0.0000 0.0000 0.0000 I
3.1469 0.0000 3.1323 P
3.1469 3.1469 0.0000 P
2.0859 4.7204 1.5662 Cd
4.2079 1.5735 1.5662 Cd
-1.5735 -1.0610 4.6985 Cd
1.5735 1.0610 4.6985 Cd
```


6.
Below is Li5Mn3Ni2O10 after structural relaxation, with properties calculated at the GGA-PBEsol level.

Results
- uncorrected formation energy (eV/atom) = -1.617

Geometry as POSCAR:
```
Li5Mn3Ni2O10
1.0
4.9286 0.0158 0.0019
-0.8076 4.9414 -0.0275
-1.7216 -2.6463 7.0163
Li Mn Ni O
5 3 2 10
Cartesian
-0.4787 3.4437 2.9468 Li
0.3453 -0.6234 5.4055 Li
1.1997 1.1554 3.4954 Li
2.0542 2.9343 1.5852 Li
2.8782 -1.1329 4.0439 Li
-0.4038 2.4707 -0.0138 Mn
1.1338 2.0730 6.2265 Mn
1.2657 0.2378 0.7642 Mn
-1.2510 1.6114 4.8274 Ni
3.6505 0.6995 2.1634 Ni
-1.3756 -1.7536 6.1043 O
-0.4596 1.0925 6.6905 O
-0.5056 0.0865 3.8465 O
0.4170 1.7318 1.5487 O
0.4345 2.7071 4.6759 O
1.9650 -0.3963 2.3148 O
1.9824 0.5790 5.4420 O
2.9051 2.2244 3.1442 O
2.8591 1.2184 0.3002 O
3.7751 4.0645 0.8864 O
```


7.
Below is CsNb2Ru after structural relaxation, with properties calculated at the GGA-PBEsol level.

Results
- E_form (kJ/mol of atoms) = 127.42

Geometry as POSCAR:
```
CsNb2Ru
1.0
-4.7049 0.2392 0.2307
-2.6390 -2.5322 -2.9784
-2.4736 -3.6871 1.5917
Cs Ru Nb
1 1 2
Cartesian
-4.9087 -2.9900 -0.5780 Cs
0.0000 0.0000 0.0000 Ru
-2.4544 -1.4950 -0.2890 Nb
-7.3631 -4.4851 -0.8670 Nb
```


8.
Below is TaW7 after structural relaxation, with properties calculated at the GGA-PBEsol level.

Results
- E_form (kJ/mol of atoms) = -4.83

Geometry as POSCAR:
```
TaW7
1.0
-4.6946 -3.9814 -1.4859
3.9540 -4.9046 0.6402
-1.5537 -0.4562 6.1219
Ta W
2 14
Cartesian
-2.0048 -8.1634 4.6103 Ta
-0.2895 -1.1789 0.6658 Ta
-1.4312 -5.8279 3.2913 W
0.9066 -3.8462 4.0321 W
-3.4007 -3.3864 2.9732 W
-1.0629 -1.4035 3.7144 W
0.3336 -6.1824 5.3522 W
-3.9755 -5.7225 4.2929 W
-1.6365 -3.7404 5.0330 W
-0.6577 -5.6019 0.2431 W
1.6812 -3.6199 0.9832 W
-2.6279 -3.1599 -0.0761 W
-1.2314 -7.9388 1.5617 W
1.1064 -5.9559 2.3029 W
-3.2008 -5.4961 1.2441 W
-0.8631 -3.5144 1.9848 W
```